Material: ZrSc3Bi
Method: DFT, PBE
State: relaxed

Results
ΔE to the lowest computed polymorph = 0 meV per atom
space-group type = No. 221
density of states at the Fermi level = 0.760 states/eV/atom

a = 5.2023 Å, b = 5.2023 Å, c = 5.2023 Å
α = 90.00°, β = 90.00°, γ = 90.00°
Fractional positions:
Sc1 0.0000 0.5000 0.0000
Sc2 0.0000 0.0000 0.5000
Sc3 0.5000 0.0000 0.0000
Bi1 0.5000 0.5000 0.5000
Zr1 0.0000 0.0000 0.0000